The following is a DFT calculation (PBE) of a relaxed SiAg2Br crystal.

The value obtained for the theoretical density is 6.193 g/cm³. The calculation puts the uncorrected formation energy at 1.7 eV per formula unit. For the energy relative to the lowest polymorph listed for this composition, the calculation gives 0.281 eV/atom. As for the symmetry: I-4m2. The calculation puts the density of states at the Fermi level at 1.53 states/eV/cell.

Cell: 6.3358 6.3358 6.3358 Å, 144.14 144.14 51.62°
Element x y z (fractional)
Si  0.0000  0.0000  0.0000
Ag  0.2500  0.7500  0.5000
Ag  0.5000  0.5000  0.0000
Br  0.7500  0.2500  0.5000


The following is a DFT calculation (PBE) of a relaxed SiAg2Br crystal.

The value obtained for the theoretical density is 6.395 g/cm³. The calculation puts the uncorrected formation energy at 1.6 eV per formula unit. For the energy relative to the lowest polymorph listed for this composition, the calculation gives 0.252 eV/atom. As for the symmetry: Pmmm. The calculation puts the density of states at the Fermi level at 0.99 states/eV/cell.

Cell: 3.2185 4.5956 5.6834 Å, 90.00 90.00 90.00°
Element x y z (fractional)
Si  0.0000  0.0000  0.0000
Ag  0.0000  0.5000  0.5000
Ag  0.5000  0.5000  0.0000
Br  0.5000  0.0000  0.5000


The following is a DFT calculation (PBE) of a relaxed SiAg2Br crystal.

The value obtained for the theoretical density is 6.438 g/cm³. The calculation puts the uncorrected formation energy at 1.1 eV per formula unit. For the energy relative to the lowest polymorph listed for this composition, the calculation gives 0.139 eV/atom. As for the symmetry: P4mm. The calculation puts the density of states at the Fermi level at 2.67 states/eV/cell.

Cell: 3.4782 3.4782 6.9021 Å, 90.00 90.00 90.00°
Element x y z (fractional)
Si  0.0000  0.0000  0.0000
Ag  0.0000  0.0000  0.4039
Ag  0.5000  0.5000  0.1647
Br  0.5000  0.5000  0.6482


The following is a DFT calculation (PBE) of a relaxed Si2AgBr crystal.

The value obtained for the theoretical density is 5.065 g/cm³. The calculation puts the uncorrected formation energy at 2.4 eV per formula unit. For the energy relative to the lowest polymorph listed for this composition, the calculation gives 0.470 eV/atom. As for the symmetry: P4/mmm. The calculation puts the density of states at the Fermi level at 1.92 states/eV/cell.

Cell: 3.3307 3.3307 7.2087 Å, 90.00 90.00 90.00°
Element x y z (fractional)
Si  0.0000  0.0000  0.2093
Si  0.0000  0.0000  0.7907
Ag  0.5000  0.5000  0.0000
Br  0.5000  0.5000  0.5000


The following is a DFT calculation (PBE) of a relaxed SiAg2Br crystal.

The value obtained for the theoretical density is 6.505 g/cm³. The calculation puts the uncorrected formation energy at 2.0 eV per formula unit. For the energy relative to the lowest polymorph listed for this composition, the calculation gives 0.359 eV/atom. As for the symmetry: P4/mmm. The calculation puts the density of states at the Fermi level at 1.02 states/eV/cell.

Cell: 4.2866 4.2866 4.4977 Å, 90.00 90.00 90.00°
Element x y z (fractional)
Si  0.0000  0.0000  0.0000
Ag  0.0000  0.5000  0.5000
Ag  0.5000  0.0000  0.5000
Br  0.5000  0.5000  0.0000


The following is a DFT calculation (PBE) of a relaxed SiAg2Br crystal.

The value obtained for the theoretical density is 6.604 g/cm³. The calculation puts the uncorrected formation energy at 1.0 eV per formula unit. For the energy relative to the lowest polymorph listed for this composition, the calculation gives 0.122 eV/atom. As for the symmetry: P4/mmm. The calculation puts the density of states at the Fermi level at 1.44 states/eV/cell.

Cell: 3.3804 3.3804 7.1228 Å, 90.00 90.00 90.00°
Element x y z (fractional)
Si  0.0000  0.0000  0.0000
Ag  0.5000  0.5000  0.2102
Ag  0.5000  0.5000  0.7898
Br  0.0000  0.0000  0.5000


The following is a DFT calculation (PBE) of a relaxed SiAg2Br crystal.

The value obtained for the theoretical density is 6.618 g/cm³. The calculation puts the uncorrected formation energy at 1.6 eV per formula unit. For the energy relative to the lowest polymorph listed for this composition, the calculation gives 0.261 eV/atom. As for the symmetry: Cmmm. The calculation puts the density of states at the Fermi level at 1.41 states/eV/cell.

Cell: 5.0313 5.0313 3.4132 Å, 90.00 90.00 109.94°
Element x y z (fractional)
Si  0.0000  0.0000  0.0000
Ag  0.0000  0.5000  0.5000
Ag  0.5000  0.0000  0.5000
Br  0.5000  0.5000  0.0000


The following is a DFT calculation (PBE) of a relaxed Si2AgBr crystal.

The value obtained for the theoretical density is 4.861 g/cm³. The calculation puts the uncorrected formation energy at 2.1 eV per formula unit. For the energy relative to the lowest polymorph listed for this composition, the calculation gives 0.399 eV/atom. As for the symmetry: R-3m. The calculation puts the density of states at the Fermi level at 1.57 states/eV/cell.

Cell: 7.5915 7.5915 7.5915 Å, 27.68 27.68 27.68°
Element x y z (fractional)
Si  0.2383  0.2383  0.2383
Si  0.7617  0.7617  0.7617
Ag  0.5000  0.5000  0.5000
Br  0.0000  0.0000  0.0000


The following is a DFT calculation (PBE) of a relaxed SiAg2Br crystal.

The value obtained for the theoretical density is 6.395 g/cm³. The calculation puts the uncorrected formation energy at 1.0 eV per formula unit. For the energy relative to the lowest polymorph listed for this composition, the calculation gives 0.111 eV/atom. As for the symmetry: Cmmm. The calculation puts the density of states at the Fermi level at 1.28 states/eV/cell.

Cell: 3.3961 3.3961 7.9696 Å, 90.00 90.00 113.87°
Element x y z (fractional)
Si  0.0000  0.0000  0.0000
Ag  0.5000  0.5000  0.2278
Ag  0.5000  0.5000  0.7722
Br  0.0000  0.0000  0.5000


The following is a DFT calculation (PBE) of a relaxed SiAg2Br crystal.

The value obtained for the theoretical density is 6.434 g/cm³. The calculation puts the uncorrected formation energy at 1.5 eV per formula unit. For the energy relative to the lowest polymorph listed for this composition, the calculation gives 0.235 eV/atom. As for the symmetry: P2/m. The calculation puts the density of states at the Fermi level at 2.13 states/eV/cell.

Cell: 4.3843 3.4167 5.9389 Å, 90.00 110.09 90.00°
Element x y z (fractional)
Si  0.0000  0.0000  0.0000
Ag  0.0000  0.0000  0.5000
Ag  0.5000  0.5000  0.0000
Br  0.5000  0.5000  0.5000


The following is a DFT calculation (PBE) of a relaxed Si2AgBr crystal.

The value obtained for the theoretical density is 4.718 g/cm³. The calculation puts the uncorrected formation energy at 1.7 eV per formula unit. For the energy relative to the lowest polymorph listed for this composition, the calculation gives 0.316 eV/atom. As for the symmetry: C2/m. The calculation puts the density of states at the Fermi level at 1.35 states/eV/cell.

Cell: 6.0975 6.0975 3.9701 Å, 104.49 104.49 37.09°
Element x y z (fractional)
Si  0.2393  0.2393  0.1670
Si  0.7607  0.7607  0.8330
Ag  0.0000  0.0000  0.0000
Br  0.5000  0.5000  0.5000


The following is a DFT calculation (PBE) of a relaxed SiAgBr6 crystal.

The value obtained for the theoretical density is 3.728 g/cm³. The calculation puts the uncorrected formation energy at -2.8 eV per formula unit. As for the symmetry: P-1. The calculation puts the density of states at the Fermi level at 6.03 states/eV/cell.

Cell: 6.1104 6.8376 7.7222 Å, 110.73 110.02 95.91°
Element x y z (fractional)
Si  0.0000  0.0000  0.0000
Ag  0.5000  0.5000  0.0000
Br  0.1129  0.6587  0.8687
Br  0.1735  0.1323  0.7987
Br  0.3562  0.1633  0.2912
Br  0.6438  0.8367  0.7088
Br  0.8265  0.8677  0.2013
Br  0.8871  0.3413  0.1313


The following is a DFT calculation (PBE) of a relaxed Si2AgBr crystal.

The value obtained for the theoretical density is 5.227 g/cm³. The calculation puts the uncorrected formation energy at 2.7 eV per formula unit. For the energy relative to the lowest polymorph listed for this composition, the calculation gives 0.563 eV/atom. As for the symmetry: P4/mmm. The calculation puts the density of states at the Fermi level at 3.06 states/eV/cell.

Cell: 5.0997 5.0997 2.9800 Å, 90.00 90.00 90.00°
Element x y z (fractional)
Si  0.0000  0.5000  0.0000
Si  0.5000  0.0000  0.0000
Ag  0.0000  0.0000  0.5000
Br  0.5000  0.5000  0.5000


The following is a DFT calculation (PBE) of a relaxed SiAg2Br crystal.

The value obtained for the theoretical density is 6.480 g/cm³. The calculation puts the uncorrected formation energy at 1.9 eV per formula unit. For the energy relative to the lowest polymorph listed for this composition, the calculation gives 0.346 eV/atom. As for the symmetry: I4/mmm. The calculation puts the density of states at the Fermi level at 1.11 states/eV/cell.

Cell: 5.6457 5.6457 5.6457 Å, 136.91 136.91 62.58°
Element x y z (fractional)
Si  0.0000  0.0000  0.0000
Ag  0.2500  0.7500  0.5000
Ag  0.7500  0.2500  0.5000
Br  0.5000  0.5000  0.0000


The following is a DFT calculation (PBE) of a relaxed SiAg2Br crystal.

The value obtained for the theoretical density is 6.300 g/cm³. The calculation puts the uncorrected formation energy at 0.8 eV per formula unit. For the energy relative to the lowest polymorph listed for this composition, the calculation gives 0.069 eV/atom. As for the symmetry: P2/m. The calculation puts the density of states at the Fermi level at 1.22 states/eV/cell.

Cell: 3.4143 3.3921 7.3680 Å, 90.00 90.11 90.00°
Element x y z (fractional)
Si  0.0000  0.0000  0.0000
Ag  0.4994  0.5000  0.8027
Ag  0.5006  0.5000  0.1973
Br  0.5000  0.0000  0.5000


The following is a DFT calculation (PBE) of a relaxed Si2AgBr crystal.

The value obtained for the theoretical density is 4.673 g/cm³. The calculation puts the uncorrected formation energy at 0.6 eV per formula unit. For the energy relative to the lowest polymorph listed for this composition, the calculation gives 0.041 eV/atom. As for the symmetry: Pm. The calculation puts the density of states at the Fermi level at 1.41 states/eV/cell.

Cell: 3.3394 3.5733 7.2692 Å, 90.00 92.03 90.00°
Element x y z (fractional)
Si  0.0000  0.0000  0.0000
Si  0.4927  0.5000  0.9070
Ag  0.5394  0.0000  0.2769
Br  0.4238  0.5000  0.5759


The following is a DFT calculation (PBE) of a relaxed SiAg2SnBr crystal.

The value obtained for the theoretical density is 4.938 g/cm³. The calculation puts the uncorrected formation energy at 4.7 eV per formula unit. As for the symmetry: P4/mmm. The calculation puts the density of states at the Fermi level at 4.20 states/eV/cell.

Cell: 5.0405 5.0405 5.8563 Å, 90.00 90.00 90.00°
Element x y z (fractional)
Si  0.0000  0.0000  0.0000
Ag  0.0000  0.5000  0.5000
Ag  0.5000  0.0000  0.5000
Sn  0.5000  0.5000  0.0000
Br  0.5000  0.5000  0.5000


The following is a DFT calculation (PBE) of a relaxed SiAg5Te4Br2 crystal.

The value obtained for the theoretical density is 5.883 g/cm³. The calculation puts the uncorrected formation energy at -1.7 eV per formula unit. As for the symmetry: Amm2. The calculation puts the density of states at the Fermi level at 9.19 states/eV/cell.

Cell: 8.3227 7.0545 7.0545 Å, 122.49 90.00 90.00°
Element x y z (fractional)
Si  0.0000  0.0000  0.0000
Ag  0.2252  0.2569  0.6234
Ag  0.2252  0.6234  0.2569
Ag  0.5000  0.9221  0.9221
Ag  0.7748  0.2569  0.6234
Ag  0.7748  0.6234  0.2569
Te  0.0000  0.6102  0.9486
Te  0.0000  0.9486  0.6102
Te  0.2533  0.2032  0.2032
Te  0.7467  0.2032  0.2032
Br  0.5000  0.4925  0.8387
Br  0.5000  0.8387  0.4925


The following is a DFT calculation (PBE) of a relaxed Sm3Ag5Br12 crystal.

The value obtained for the theoretical density is 5.345 g/cm³. The calculation puts the uncorrected formation energy at -18.1 eV per formula unit. As for the symmetry: Ia-3d. The calculation puts the density of states at the Fermi level at 41.56 states/eV/cell.

Cell: 14.6537 14.6537 14.6537 Å, 109.47 109.47 109.47°
Element x y z (fractional)
Sm  0.1250  0.2500  0.3750
Sm  0.1250  0.3750  0.7500
Sm  0.2500  0.3750  0.1250
Sm  0.2500  0.8750  0.6250
Sm  0.3750  0.1250  0.2500
Sm  0.3750  0.7500  0.1250
Sm  0.6250  0.2500  0.8750
Sm  0.6250  0.8750  0.7500
Sm  0.7500  0.1250  0.3750
Sm  0.7500  0.6250  0.8750
Sm  0.8750  0.6250  0.2500
Sm  0.8750  0.7500  0.6250
Ag  0.0000  0.0000  0.0000
Ag  0.0000  0.0000  0.5000
Ag  0.0000  0.5000  0.0000
Ag  0.0000  0.5000  0.5000
Ag  0.1250  0.7500  0.8750
Ag  0.1250  0.8750  0.2500
Ag  0.2500  0.1250  0.8750
Ag  0.2500  0.6250  0.3750
Ag  0.3750  0.2500  0.6250
Ag  0.3750  0.6250  0.7500
Ag  0.5000  0.0000  0.0000
Ag  0.5000  0.0000  0.5000
Ag  0.5000  0.5000  0.0000
Ag  0.5000  0.5000  0.5000
Ag  0.6250  0.3750  0.2500
Ag  0.6250  0.7500  0.3750
Ag  0.7500  0.3750  0.6250
Ag  0.7500  0.8750  0.1250
Ag  0.8750  0.1250  0.7500
Ag  0.8750  0.2500  0.1250
Br  0.0478  0.2230  0.1315
Br  0.0478  0.3248  0.9163
Br  0.0837  0.6315  0.4085
Br  0.0837  0.9522  0.6752
Br  0.0915  0.7230  0.6752
Br  0.0915  0.8685  0.4163
Br  0.1315  0.0478  0.2230
Br  0.1315  0.5837  0.9085
Br  0.1752  0.2230  0.5915
Br  0.1752  0.4522  0.5837
Br  0.2230  0.1315  0.0478
Br  0.2230  0.5915  0.1752
Br  0.2770  0.3248  0.9085
Br  0.2770  0.4522  0.3685
Br  0.3248  0.9085  0.2770
Br  0.3248  0.9163  0.0478
Br  0.3685  0.2770  0.4522
Br  0.3685  0.5915  0.9163
Br  0.4085  0.0837  0.6315
Br  0.4085  0.8248  0.7770
Br  0.4163  0.0915  0.8685
Br  0.4163  0.8248  0.5478
Br  0.4522  0.3685  0.2770
Br  0.4522  0.5837  0.1752
Br  0.5478  0.4163  0.8248
Br  0.5478  0.6315  0.7230
Br  0.5837  0.1752  0.4522
Br  0.5837  0.9085  0.1315
Br  0.5915  0.1752  0.2230
Br  0.5915  0.9163  0.3685
Br  0.6315  0.4085  0.0837
Br  0.6315  0.7230  0.5478
Br  0.6752  0.0837  0.9522
Br  0.6752  0.0915  0.7230
Br  0.7230  0.5478  0.6315
Br  0.7230  0.6752  0.0915
Br  0.7770  0.4085  0.8248
Br  0.7770  0.8685  0.9522
Br  0.8248  0.5478  0.4163
Br  0.8248  0.7770  0.4085
Br  0.8685  0.4163  0.0915
Br  0.8685  0.9522  0.7770
Br  0.9085  0.1315  0.5837
Br  0.9085  0.2770  0.3248
Br  0.9163  0.0478  0.3248
Br  0.9163  0.3685  0.5915
Br  0.9522  0.6752  0.0837
Br  0.9522  0.7770  0.8685


The following is a DFT calculation (PBE) of a relaxed Sm7AgBr12 crystal.

The value obtained for the theoretical density is 5.241 g/cm³. The calculation puts the uncorrected formation energy at -30.1 eV per formula unit. As for the symmetry: R-3. The calculation puts the density of states at the Fermi level at 9.11 states/eV/cell.

Cell: 9.4349 9.4349 9.4349 Å, 108.38 108.38 108.38°
Element x y z (fractional)
Sm  0.0000  0.0000  0.0000
Sm  0.1628  0.3782  0.4556
Sm  0.3782  0.4556  0.1628
Sm  0.4556  0.1628  0.3782
Sm  0.5444  0.8372  0.6218
Sm  0.6218  0.5444  0.8372
Sm  0.8372  0.6218  0.5444
Ag  0.5000  0.5000  0.5000
Br  0.0201  0.3384  0.1042
Br  0.1042  0.0201  0.3384
Br  0.1914  0.7220  0.5759
Br  0.2780  0.4241  0.8086
Br  0.3384  0.1042  0.0201
Br  0.4241  0.8086  0.2780
Br  0.5759  0.1914  0.7220
Br  0.6616  0.8958  0.9799
Br  0.7220  0.5759  0.1914
Br  0.8086  0.2780  0.4241
Br  0.8958  0.9799  0.6616
Br  0.9799  0.6616  0.8958